The following is a DFT calculation (PBE) of a geometry-optimized BaTa2Zn structure.

Values from the calculation:
The energy relative to the elements is 0.92 eV per atom. The space-group type is Pmmm. For the density of states at the Fermi level, the calculation gives 1.26 states/eV per atom.

Cell: 3.078 5.276 5.462 Å, 90.00 90.00 90.00°
Fractional coordinates of all 4 atoms:
Ba1 0.000 0.000 0.000
Ta1 0.000 0.500 0.500
Ta2 0.500 0.000 0.500
Zn1 0.500 0.500 0.000